[1]
# Pr2BiTe

A geometry-optimized Pr2BiTe structure (PBE, Alexandria via LeMat-Bulk).

The structure in POSCAR format:
```
Pr2BiTe
1.0
-3.2267 3.2213 -0.5434
-4.5822 -4.6024 -0.0746
-0.8431 0.6918 9.1074
Te Bi Pr
2 2 4
Direct
0.0000 0.5000 0.8759
0.5000 0.0000 0.1241
0.0000 0.5000 0.3741
0.5000 0.0000 0.6259
0.0000 0.0000 0.3761
0.5000 0.5000 0.1266
0.0000 0.0000 0.8734
0.5000 0.5000 0.6239
```

Results
DOS at the Fermi energy: 3.08 states/eV per cell
crystal system: orthorhombic
energy relative to the lowest polymorph listed for this composition: 5 meV per atom
DFT total energy: -5.367 eV per atom
energy relative to the elements, uncorrected: -1.222 eV/atom

***

[2]
# Pr3Bi5Te12

A geometry-optimized Pr3Bi5Te12 structure (PBE, Alexandria via LeMat-Bulk).

The structure in POSCAR format:
```
Pr3Bi5Te12
1.0
16.0919 0.0000 0.0000
-5.3640 15.1716 0.0000
-5.3640 -7.5858 13.1389
Bi Te Pr
20 48 12
Direct
0.0000 0.5000 0.5000
0.6250 0.8750 0.2500
0.5000 0.0000 0.5000
0.5000 0.0000 0.0000
0.5000 0.5000 0.0000
0.1250 0.7500 0.3750
0.2500 0.3750 0.6250
0.8750 0.6250 0.7500
0.1250 0.3750 0.2500
0.2500 0.8750 0.1250
0.3750 0.2500 0.1250
0.5000 0.5000 0.5000
0.0000 0.0000 0.5000
0.7500 0.1250 0.8750
0.8750 0.2500 0.6250
0.6250 0.7500 0.8750
0.0000 0.5000 0.0000
0.0000 0.0000 0.0000
0.3750 0.1250 0.7500
0.7500 0.6250 0.3750
0.3615 0.4157 0.0840
0.0840 0.9157 0.3615
0.4458 0.6684 0.0843
0.9160 0.8316 0.7774
0.0843 0.1684 0.4458
0.7226 0.1385 0.0542
0.5542 0.2226 0.1385
0.2226 0.5542 0.6385
0.7226 0.5840 0.1684
0.6684 0.4458 0.5843
0.9157 0.8316 0.5542
0.9160 0.0843 0.6385
0.5843 0.6385 0.4160
0.5542 0.3316 0.9157
0.5840 0.8615 0.4157
0.3316 0.7774 0.4160
0.1684 0.0843 0.9458
0.6385 0.0542 0.2226
0.8316 0.9157 0.0542
0.3615 0.9458 0.7774
0.8615 0.2774 0.4458
0.0542 0.6385 0.7226
0.6684 0.2226 0.5840
0.5843 0.9458 0.6684
0.4160 0.2774 0.3316
0.0542 0.4157 0.8316
0.5840 0.7226 0.6684
0.3316 0.5542 0.4157
0.9458 0.3615 0.2774
0.0843 0.9160 0.1385
0.4160 0.1385 0.5843
0.4157 0.0542 0.3316
0.4157 0.3615 0.5840
0.9157 0.0840 0.8615
0.9458 0.5843 0.1684
0.1385 0.4160 0.0843
0.2226 0.6684 0.0840
0.1385 0.7226 0.5542
0.2774 0.8615 0.9458
0.7774 0.3316 0.9160
0.2774 0.4160 0.8316
0.7774 0.4458 0.3615
0.8316 0.9160 0.2774
0.4458 0.7774 0.8615
0.6385 0.5843 0.9160
0.1684 0.0840 0.7226
0.0840 0.1684 0.2226
0.8615 0.5840 0.9157
0.7500 0.3750 0.1250
0.1250 0.8750 0.7500
0.3750 0.6250 0.2500
0.8750 0.1250 0.2500
0.2500 0.1250 0.3750
0.7500 0.8750 0.6250
0.8750 0.7500 0.1250
0.3750 0.7500 0.6250
0.6250 0.2500 0.3750
0.2500 0.6250 0.8750
0.1250 0.2500 0.8750
0.6250 0.3750 0.7500
```

Results
crystal system: cubic
DFT total energy: -4.118 eV per atom
energy relative to the elements, uncorrected: -0.546 eV/atom

***

[3]
# Pr5Bi4Te

A geometry-optimized Pr5Bi4Te structure (PBE, Alexandria via LeMat-Bulk).

The structure in POSCAR format:
```
Pr5Bi4Te
1.0
-4.6493 2.8305 -3.6223
-7.4097 -0.9295 2.8833
-1.5914 7.5706 2.0576
Bi Pr Te
4 5 1
Direct
0.2016 0.1996 0.3992
0.8004 0.8004 0.6008
0.6008 0.6008 0.1996
0.4012 0.3992 0.8004
0.3019 0.7999 0.5982
0.1019 0.5982 0.2001
0.7001 0.2001 0.4018
0.5012 0.0000 0.0000
0.9002 0.4018 0.7999
0.0010 0.0000 0.0000
```

Results
DOS at the Fermi energy: 2.82 states/eV per cell
crystal system: tetragonal
energy relative to the lowest polymorph listed for this composition: 0 meV per atom
DFT total energy: -5.335 eV per atom
energy relative to the elements, uncorrected: -1.078 eV/atom

***

[4]
# PrBiTe

A geometry-optimized PrBiTe structure (PBE, Alexandria via LeMat-Bulk).

The structure in POSCAR format:
```
PrBiTe
1.0
7.6493 0.0000 0.0000
0.0000 7.6493 0.0000
0.0000 0.0000 7.6493
Bi Pr Te
4 4 4
Direct
0.2527 0.7473 0.2473
0.2473 0.2527 0.7473
0.7527 0.7527 0.7527
0.7473 0.2473 0.2527
0.0030 0.9970 0.4970
0.9970 0.4970 0.0030
0.5030 0.5030 0.5030
0.4970 0.0030 0.9970
0.7518 0.2482 0.7482
0.2518 0.2518 0.2518
0.2482 0.7482 0.7518
0.7482 0.7518 0.2482
```

Results
DOS at the Fermi energy: 18.32 states/eV per cell
crystal system: cubic
DFT total energy: -4.483 eV per atom
energy relative to the elements, uncorrected: -0.549 eV/atom

***

[5]
# Pr6Bi5Te

A geometry-optimized Pr6Bi5Te structure (PBE, Alexandria via LeMat-Bulk).

The structure in POSCAR format:
```
Pr6Bi5Te
1.0
-1.7770 -6.6956 -4.0222
3.8308 5.9862 -3.6957
5.9425 -2.7463 4.6087
Bi Pr Te
5 6 1
Direct
0.1667 0.8333 0.5000
0.6666 0.3334 0.0000
0.5000 0.5000 0.5000
0.3334 0.6666 0.0000
0.8333 0.1667 0.5000
0.2503 0.2503 0.7484
0.9166 0.5824 0.7496
0.0834 0.4176 0.2504
0.5824 0.9166 0.7496
0.7497 0.7497 0.2516
0.4176 0.0834 0.2504
0.0000 0.0000 0.0000
```

Results
DOS at the Fermi energy: 3.43 states/eV per cell
crystal system: monoclinic
DFT total energy: -5.329 eV per atom
energy relative to the elements, uncorrected: -1.060 eV/atom

***

[6]
# Pr6BiTe4

A geometry-optimized Pr6BiTe4 structure (PBE, Alexandria via LeMat-Bulk).

The structure in POSCAR format:
```
Pr6BiTe4
1.0
4.4472 0.0000 0.0000
-2.2236 7.3146 0.0000
0.0000 0.0000 22.8344
Bi Te Pr
2 8 12
Direct
0.3238 0.6475 0.7500
0.6762 0.3525 0.2500
0.1468 0.2936 0.4638
0.5800 0.1601 0.6261
0.4200 0.8399 0.1261
0.1468 0.2936 0.0362
0.8532 0.7064 0.9638
0.8532 0.7064 0.5362
0.4200 0.8399 0.3739
0.5800 0.1601 0.8739
0.5000 0.0000 0.5000
0.5000 0.0000 0.0000
0.0612 0.1223 0.3332
0.2305 0.4610 0.6021
0.9388 0.8777 0.6668
0.6618 0.3236 0.7500
0.2305 0.4610 0.8979
0.0612 0.1223 0.1668
0.9388 0.8777 0.8332
0.3382 0.6764 0.2500
0.7695 0.5390 0.1021
0.7695 0.5390 0.3979
```

Results
DOS at the Fermi energy: 20.10 states/eV per cell
crystal system: orthorhombic
DFT total energy: -5.303 eV per atom
energy relative to the elements, uncorrected: -1.201 eV/atom

***

[7]
# Pr4BiTe3

A geometry-optimized Pr4BiTe3 structure (PBE, Alexandria via LeMat-Bulk).

The structure in POSCAR format:
```
Pr4BiTe3
1.0
4.5426 0.0000 0.0000
0.0000 7.4870 -2.5495
0.0000 -0.0590 7.9090
Pr Te Bi
4 3 1
Direct
0.5000 0.7497 0.2503
0.0000 0.2503 0.2503
0.5000 0.2503 0.7497
0.0000 0.7497 0.7497
0.0000 0.5000 0.0000
0.5000 0.5000 0.5000
0.0000 0.0000 0.5000
0.5000 0.0000 0.0000
```

Results
DOS at the Fermi energy: 3.70 states/eV per cell
crystal system: orthorhombic
DFT total energy: -5.385 eV per atom
energy relative to the elements, uncorrected: -1.332 eV/atom

***

[8]
# Pr4Bi2Te

A geometry-optimized Pr4Bi2Te structure (PBE, Alexandria via LeMat-Bulk).

The structure in POSCAR format:
```
Pr4Bi2Te
1.0
7.9203 0.0000 -2.7678
-3.9769 6.8319 -2.8111
0.0335 0.0000 8.3899
Pr Bi Te
8 4 2
Direct
0.6306 0.7547 0.0199
0.1241 0.3894 0.3694
0.4848 0.1106 0.2301
0.9801 0.6106 0.7348
0.7699 0.2547 0.8806
0.6259 0.7453 0.5152
0.1194 0.8894 0.3741
0.2652 0.2453 0.8759
0.3750 0.8714 0.7464
0.8750 0.1286 0.5036
0.2536 0.6286 0.1250
0.4964 0.3714 0.6250
0.7500 0.5000 0.2500
0.0000 0.0000 0.0000
```

Results
DOS at the Fermi energy: 15.98 states/eV per cell
crystal system: tetragonal
energy relative to the lowest polymorph listed for this composition: 0 meV per atom
DFT total energy: -5.263 eV per atom
energy relative to the elements, uncorrected: -0.974 eV/atom